(1)
Density functional theory data (GGA-PBE) for a relaxed ScCuIr crystal.

CIF file:
```
data_ScCuIr
_chemical_formula_sum 'Sc2 Cu2 Ir2'
_symmetry_space_group_name_H-M 'I 4 m m'
_symmetry_Int_Tables_number 107
_symmetry_space_group_name_Hall 'I 4 -2'
_cell_length_a 3.282
_cell_length_b 3.282
_cell_length_c 8.730
_cell_angle_alpha 90.00
_cell_angle_beta 90.00
_cell_angle_gamma 90.00
loop_
_atom_site_label
_atom_site_fract_x
_atom_site_fract_y
_atom_site_fract_z
Sc1 0.000 0.000 0.000
Cu1 0.000 0.000 0.323
Ir1 0.000 0.000 0.667
```

Results
- Size of the total moment: 0.0 μB per formula unit
- Formation energy from the elements: -0.448 eV/atom
- Energy above the most stable polymorph in this dataset: 0.0 kJ/mol of formula units

---

(2)
Density functional theory data (GGA-PBE) for a relaxed La4BiAs3 crystal.

CIF file:
```
data_La4BiAs3
_chemical_formula_sum 'La4 Bi1 As3'
_symmetry_space_group_name_H-M 'P m m m'
_symmetry_Int_Tables_number 47
_cell_length_a 4.442
_cell_length_b 6.322
_cell_length_c 8.947
_cell_angle_alpha 90.00
_cell_angle_beta 90.00
_cell_angle_gamma 90.00
loop_
_symmetry_equiv_pos_as_xyz
'x,y,z'
'-x,-y,-z'
'-x,-y,z'
'x,y,-z'
'x,-y,-z'
'-x,y,z'
'-x,y,-z'
'x,-y,z'
loop_
_atom_site_label
_atom_site_fract_x
_atom_site_fract_y
_atom_site_fract_z
La1 0.000 0.000 0.000
La2 0.000 0.000 0.500
La3 0.500 0.500 0.234
Bi1 0.000 0.500 0.500
As1 0.000 0.500 0.000
As2 0.500 0.000 0.247
```

Results
- Size of the total moment: 0.0 μB per formula unit
- Formation energy from the elements: -1.410 eV/atom

---

(3)
Density functional theory data (GGA-PBE) for a relaxed Ti2HgAs2 crystal.

CIF file:
```
data_Ti2HgAs2
_chemical_formula_sum 'Ti4 Hg2 As4'
_symmetry_space_group_name_H-M 'P 4/m b m'
_symmetry_Int_Tables_number 127
_symmetry_space_group_name_Hall '-P 4 2ab'
_cell_length_a 7.334
_cell_length_b 7.334
_cell_length_c 3.378
_cell_angle_alpha 90.00
_cell_angle_beta 90.00
_cell_angle_gamma 90.00
loop_
_atom_site_label
_atom_site_fract_x
_atom_site_fract_y
_atom_site_fract_z
Ti1 0.137 0.363 0.000
Hg1 0.000 0.000 0.000
As1 0.150 0.650 0.500
```

Results
- Size of the total moment: 0.0 μB per formula unit
- Formation energy from the elements: -0.500 eV/atom
- Energy above the most stable polymorph in this dataset: 0.0 kJ/mol of formula units

---

(4)
Density functional theory data (GGA-PBE) for a relaxed ErMgSn2 crystal.

CIF file:
```
data_ErMgSn2
_chemical_formula_sum 'Er1 Mg1 Sn2'
_symmetry_space_group_name_H-M 'P 4/m m m'
_symmetry_Int_Tables_number 123
_symmetry_space_group_name_Hall '-P 4 2'
_cell_length_a 4.723
_cell_length_b 4.723
_cell_length_c 4.371
_cell_angle_alpha 90.00
_cell_angle_beta 90.00
_cell_angle_gamma 90.00
loop_
_atom_site_label
_atom_site_fract_x
_atom_site_fract_y
_atom_site_fract_z
Er1 0.000 0.000 0.000
Mg1 0.500 0.500 0.000
Sn1 0.000 0.500 0.500
```

Results
- Size of the total moment: 0.0 μB per formula unit
- Formation energy from the elements: -0.459 eV/atom

---

(5)
Density functional theory data (GGA-PBE) for a relaxed MgRhCl2 crystal.

CIF file:
```
data_MgRhCl2
_chemical_formula_sum 'Mg2 Rh2 Cl4'
_symmetry_space_group_name_H-M 'C 1 2/m 1'
_symmetry_Int_Tables_number 12
_cell_length_a 12.889
_cell_length_b 3.243
_cell_length_c 4.672
_cell_angle_alpha 90.00
_cell_angle_beta 95.40
_cell_angle_gamma 90.00
loop_
_symmetry_equiv_pos_as_xyz
'x,y,z'
'-x,-y,-z'
'-x,y,-z'
'x,-y,z'
'x+1/2,y+1/2,z'
'-x+1/2,-y+1/2,-z'
'-x+1/2,y+1/2,-z'
'x+1/2,-y+1/2,z'
loop_
_atom_site_label
_atom_site_fract_x
_atom_site_fract_y
_atom_site_fract_z
Mg1 0.000 0.000 0.000
Rh1 0.000 0.500 0.500
Cl1 0.136 0.500 0.206
```

Results
- Size of the total moment: 0.4 μB per formula unit
- Formation energy from raw total energies: -2.64 eV per formula unit
- Energy above the most stable polymorph in this dataset: 0.0 kJ/mol of formula units

---

(6)
Density functional theory data (GGA-PBE) for a relaxed K2BaTlPb crystal.

CIF file:
```
data_K2BaTlPb
_chemical_formula_sum 'K2 Ba1 Tl1 Pb1'
_symmetry_space_group_name_H-M 'P 4/m m m'
_symmetry_Int_Tables_number 123
_symmetry_space_group_name_Hall '-P 4 2'
_cell_length_a 6.760
_cell_length_b 6.760
_cell_length_c 6.706
_cell_angle_alpha 90.00
_cell_angle_beta 90.00
_cell_angle_gamma 90.00
loop_
_atom_site_label
_atom_site_fract_x
_atom_site_fract_y
_atom_site_fract_z
K1 0.000 0.500 0.000
Ba1 0.000 0.000 0.500
Tl1 0.500 0.500 0.500
Pb1 0.000 0.000 0.000
```

Results
- Size of the total moment: 1.1 μB per formula unit
- Formation energy from the elements: 0.124 eV/atom

---

(7)
Density functional theory data (GGA-PBE) for a relaxed Na3Ho2SnO6 crystal.

CIF file:
```
data_Na3Ho2SnO6
_chemical_formula_sum 'Na6 Ho4 Sn2 O12'
_symmetry_space_group_name_H-M 'C 1 2/m 1'
_symmetry_Int_Tables_number 12
_cell_length_a 5.895
_cell_length_b 10.204
_cell_length_c 5.945
_cell_angle_alpha 90.00
_cell_angle_beta 109.30
_cell_angle_gamma 90.00
loop_
_symmetry_equiv_pos_as_xyz
'x,y,z'
'-x,-y,-z'
'-x,y,-z'
'x,-y,z'
'x+1/2,y+1/2,z'
'-x+1/2,-y+1/2,-z'
'-x+1/2,y+1/2,-z'
'x+1/2,-y+1/2,z'
loop_
_atom_site_label
_atom_site_fract_x
_atom_site_fract_y
_atom_site_fract_z
Na1 0.000 0.000 0.000
Na2 0.000 0.338 0.000
Ho1 0.000 0.167 0.500
Sn1 0.000 0.500 0.500
O1 0.235 0.000 0.713
O2 0.239 0.332 0.713
```

Results
- Size of the total moment: 0.0 μB per formula unit
- Formation energy from raw total energies: -27.82 eV per formula unit

---

(8)
Density functional theory data (GGA-PBE) for a relaxed ScNbAlV crystal.

CIF file:
```
data_ScNbAlV
_chemical_formula_sum 'Sc4 Nb4 Al4 V4'
_symmetry_space_group_name_H-M 'F -4 3 m'
_symmetry_Int_Tables_number 216
_symmetry_space_group_name_Hall 'F -4 2 3'
_cell_length_a 6.547
_cell_length_b 6.547
_cell_length_c 6.547
_cell_angle_alpha 90.00
_cell_angle_beta 90.00
_cell_angle_gamma 90.00
loop_
_atom_site_label
_atom_site_fract_x
_atom_site_fract_y
_atom_site_fract_z
Sc1 0.000 0.000 0.000
Nb1 0.000 0.000 0.500
Al1 0.250 0.250 0.750
V1 0.250 0.250 0.250
```

Results
- Size of the total moment: 1.7 μB per formula unit
- Formation energy from the elements: -0.072 eV/atom